[1]
A plane-wave DFT calculation with GGA-PBE was carried out for Pu6As3P2Br after structural relaxation.

## Properties
Raw formation energy (eV/atom): -1.04
Total magnetic moment (μB per formula unit): 10.47

Cell: 4.112 8.203 13.582 Å, 138.78 98.71 90.00°
Site moments in Bohr magnetons follow the coordinates.
Sites, in units of the cell vectors:
Pu1 0.328 0.562 0.657  -5.13
Pu2 0.669 0.916 0.337  5.05
Pu3 0.672 0.438 0.343  -5.13
Pu4 0.005 0.272 0.010  5.19
Pu5 0.995 0.728 0.990  5.19
Pu6 0.331 0.084 0.663  5.05
As1 0.500 0.500 0.000  -0.13
As2 0.837 0.839 0.674  0.00
As3 0.163 0.161 0.326  0.00
P1 0.832 0.329 0.665  -0.05
P2 0.168 0.671 0.335  -0.05
Br1 0.500 0.000 0.000  -0.02



[2]
A plane-wave DFT calculation with GGA-PBE was carried out for RbAsPBr2 after structural relaxation.

## Properties
Raw formation energy (eV/atom): -0.30
Total magnetic moment (μB per formula unit): 0.00

Cell: 5.764 5.764 4.626 Å, 90.00 90.00 90.00°
Sites, in units of the cell vectors:
P1 0.000 0.000 0.000
As1 0.000 0.000 0.500
Br1 0.000 0.500 0.000
Br2 0.500 0.000 0.000
Rb1 0.500 0.500 0.500



[3]
A plane-wave DFT calculation with GGA-PBE was carried out for RbAsPBr2 after structural relaxation.

## Properties
Raw formation energy (eV/atom): 0.87
Total magnetic moment (μB per formula unit): 6.61

Cell: 6.619 6.619 7.708 Å, 90.00 90.00 90.00°
Site moments in Bohr magnetons follow the coordinates.
Sites, in units of the cell vectors:
P1 0.500 0.500 0.500  1.18
As1 0.000 0.000 0.500  1.23
Br1 0.000 0.500 0.000  0.31
Br2 0.500 0.000 0.000  0.31
Rb1 0.000 0.000 0.000  0.01



[4]
A plane-wave DFT calculation with GGA-PBE was carried out for Rb2AsPBr6 after structural relaxation.

## Properties
Raw formation energy (eV/atom): -0.76
Total magnetic moment (μB per formula unit): 0.00

Cell: 7.629 7.629 7.678 Å, 60.21 60.21 90.00°
Sites, in units of the cell vectors:
P1 0.500 0.500 0.000
As1 0.000 0.000 0.000
Br1 0.253 0.253 0.493
Br2 0.747 0.747 0.507
Br3 0.254 0.254 0.000
Br4 0.746 0.746 0.000
Br5 0.746 0.254 0.000
Br6 0.254 0.746 0.000
Rb1 0.750 0.250 0.500
Rb2 0.250 0.750 0.500



[5]
A plane-wave DFT calculation with GGA-PBE was carried out for ReAs2PBr after structural relaxation.

## Properties
Raw formation energy (eV/atom): 0.42
Total magnetic moment (μB per formula unit): 0.00

Cell: 4.905 4.584 4.905 Å, 90.00 90.00 90.00°
Sites, in units of the cell vectors:
Re1 0.000 0.000 0.000
As1 0.000 0.000 0.500
As2 0.500 0.000 0.000
Br1 0.500 0.500 0.500
P1 0.000 0.500 0.000



[6]
A plane-wave DFT calculation with GGA-PBE was carried out for ReAs2PBr after structural relaxation.

## Properties
Raw formation energy (eV/atom): 1.48
Total magnetic moment (μB per formula unit): 3.25

Cell: 4.811 4.811 4.761 Å, 90.00 90.00 90.00°
Site moments in Bohr magnetons follow the coordinates.
Sites, in units of the cell vectors:
Re1 0.500 0.500 0.500  3.25
As1 0.000 0.500 0.000  -0.17
As2 0.500 0.000 0.000  -0.17
Br1 0.000 0.000 0.500  0.03
P1 0.000 0.000 0.000  -0.02